DFT (GGA-PBE) results for a geometry-optimized K6Cd3O structure.

a b c (Å): 7.159 12.311 11.970
angles (deg): 120.95 90.00 90.00
Element x y z (fractional)
K  0.513  0.733  0.141
K  0.711  0.058  0.117
K  0.244  0.170  0.340
K  0.189  0.614  0.528
K  0.744  0.830  0.660
K  0.211  0.942  0.883
K  0.013  0.592  0.859
K  0.513  0.408  0.141
K  0.689  0.086  0.472
K  0.189  0.914  0.528
K  0.689  0.386  0.472
K  0.013  0.267  0.859
O  0.584  0.168  0.336
O  0.084  0.832  0.664
Cd  0.006  0.597  0.194
Cd  0.506  0.403  0.806
Cd  0.018  0.840  0.196
Cd  0.518  0.160  0.804
Cd  0.518  0.643  0.804
Cd  0.018  0.357  0.196

**Total magnetization**: 0.000 μB per formula unit
**Formation energy without anion corrections**: -0.276 eV per atom
**Symmetry**: Cmc2_1 (36)
**Crystal system**: orthorhombic